# Y2ErTm4 PBE optimized geometry
# total energy = -4.7773 eV/atom
# space-group type = Imma
data_Y2ErTm4
_chemical_formula_sum 'Y4 Er2 Tm8'
_cell_length_a 6.677
_cell_length_b 8.876
_cell_length_c 8.876
_cell_angle_alpha 78.23
_cell_angle_beta 67.91
_cell_angle_gamma 67.91
_space_group_name_H-M_alt 'P 1'
_space_group_IT_number 1
loop_
_space_group_symop_operation_xyz
'x,y,z'
loop_
_atom_site_label
_atom_site_type_symbol
_atom_site_fract_x
_atom_site_fract_y
_atom_site_fract_z
Er1 Er 0.500 0.500 0.000
Er2 Er 0.000 0.500 0.000
Tm1 Tm 0.861 0.149 0.130
Tm2 Tm 0.139 0.370 0.351
Tm3 Tm 0.786 0.239 0.739
Tm4 Tm 0.861 0.630 0.649
Tm5 Tm 0.214 0.761 0.261
Tm6 Tm 0.764 0.761 0.261
Tm7 Tm 0.139 0.851 0.870
Tm8 Tm 0.236 0.239 0.739
Y1 Y 0.723 0.027 0.527
Y2 Y 0.500 0.500 0.500
Y3 Y 0.277 0.973 0.473
Y4 Y 0.500 0.000 0.000

# CePaRuPt PBE optimized geometry
# energy above the lowest structure with this stoichiometry = 0.000 eV per atom
# space-group type = Amm2
data_CePaRuPt
_chemical_formula_sum 'Ce1 Pa1 Ru1 Pt1'
_cell_length_a 3.841
_cell_length_b 4.041
_cell_length_c 6.007
_cell_angle_alpha 90.00
_cell_angle_beta 108.64
_cell_angle_gamma 90.00
_space_group_name_H-M_alt 'P 1'
_space_group_IT_number 1
loop_
_space_group_symop_operation_xyz
'x,y,z'
loop_
_atom_site_label
_atom_site_type_symbol
_atom_site_fract_x
_atom_site_fract_y
_atom_site_fract_z
Ce1 Ce 0.855 0.500 0.710
Pt1 Pt 0.409 0.000 0.817
Ru1 Ru 0.604 0.500 0.208
Pa1 Pa 0.132 0.000 0.264

# LaMoAs2 PBE optimized geometry
# energy above the lowest structure with this stoichiometry = 0.000 eV per atom
# space-group type = R-3m
data_LaMoAs2
_chemical_formula_sum 'La1 Mo1 As2'
_cell_length_a 4.094
_cell_length_b 4.094
_cell_length_c 6.615
_cell_angle_alpha 72.01
_cell_angle_beta 72.01
_cell_angle_gamma 59.94
_space_group_name_H-M_alt 'P 1'
_space_group_IT_number 1
loop_
_space_group_symop_operation_xyz
'x,y,z'
loop_
_atom_site_label
_atom_site_type_symbol
_atom_site_fract_x
_atom_site_fract_y
_atom_site_fract_z
As1 As 0.017 0.017 0.948
As2 As 0.483 0.483 0.552
La1 La 0.250 0.250 0.250
Mo1 Mo 0.750 0.750 0.750

# CaAc5Nd2 PBE optimized geometry
# total energy = -3.9682 eV/atom
# space-group type = Immm
data_CaAc5Nd2
_chemical_formula_sum 'Ca1 Ac5 Nd2'
_cell_length_a 3.873
_cell_length_b 11.994
_cell_length_c 9.630
_cell_angle_alpha 128.52
_cell_angle_beta 101.60
_cell_angle_gamma 90.00
_space_group_name_H-M_alt 'P 1'
_space_group_IT_number 1
loop_
_space_group_symop_operation_xyz
'x,y,z'
loop_
_atom_site_label
_atom_site_type_symbol
_atom_site_fract_x
_atom_site_fract_y
_atom_site_fract_z
Nd1 Nd 0.747 0.247 0.494
Nd2 Nd 0.253 0.753 0.506
Ac1 Ac 0.367 0.601 0.734
Ac2 Ac 0.633 0.399 0.266
Ac3 Ac 0.000 0.500 0.000
Ac4 Ac 0.633 0.867 0.266
Ac5 Ac 0.367 0.133 0.734
Ca1 Ca 0.000 0.000 0.000

# ReGe2Au PBE optimized geometry
# energy above the lowest structure with this stoichiometry = 0.464 eV per atom
# space-group type = Fm-3m
data_ReGe2Au
_chemical_formula_sum 'Re1 Ge2 Au1'
_cell_length_a 4.526
_cell_length_b 4.526
_cell_length_c 4.526
_cell_angle_alpha 60.00
_cell_angle_beta 60.00
_cell_angle_gamma 60.00
_space_group_name_H-M_alt 'P 1'
_space_group_IT_number 1
loop_
_space_group_symop_operation_xyz
'x,y,z'
loop_
_atom_site_label
_atom_site_type_symbol
_atom_site_fract_x
_atom_site_fract_y
_atom_site_fract_z
Ge1 Ge 0.750 0.750 0.750
Ge2 Ge 0.250 0.250 0.250
Re1 Re 0.000 0.000 0.000
Au1 Au 0.500 0.500 0.500

# MgNi2Os PBE optimized geometry
# total energy = -5.8892 eV/atom
# space-group type = I-4m2
data_MgNi2Os
_chemical_formula_sum 'Mg1 Ni2 Os1'
_cell_length_a 4.670
_cell_length_b 4.670
_cell_length_c 4.670
_cell_angle_alpha 133.58
_cell_angle_beta 133.58
_cell_angle_gamma 67.75
_space_group_name_H-M_alt 'P 1'
_space_group_IT_number 1
loop_
_space_group_symop_operation_xyz
'x,y,z'
loop_
_atom_site_label
_atom_site_type_symbol
_atom_site_fract_x
_atom_site_fract_y
_atom_site_fract_z
Os1 Os 0.500 0.500 0.000
Ni1 Ni 0.250 0.750 0.500
Ni2 Ni 0.000 0.000 0.000
Mg1 Mg 0.750 0.250 0.500

# Pr2Pa2Se5 PBE optimized geometry
# space-group type = P-3m1
# E_form (uncorrected) = -13.780 eV/f.u.
data_Pr2Pa2Se5
_chemical_formula_sum 'Pr2 Pa2 Se5'
_cell_length_a 4.142
_cell_length_b 4.142
_cell_length_c 17.405
_cell_angle_alpha 90.00
_cell_angle_beta 90.00
_cell_angle_gamma 120.00
_space_group_name_H-M_alt 'P 1'
_space_group_IT_number 1
loop_
_space_group_symop_operation_xyz
'x,y,z'
loop_
_atom_site_label
_atom_site_type_symbol
_atom_site_fract_x
_atom_site_fract_y
_atom_site_fract_z
Pa1 Pa 0.000 0.000 0.697
Pa2 Pa 0.000 0.000 0.303
Se1 Se 0.333 0.667 0.607
Se2 Se 0.667 0.333 0.791
Se3 Se 0.000 0.000 0.000
Se4 Se 0.667 0.333 0.393
Se5 Se 0.333 0.667 0.209
Pr1 Pr 0.667 0.333 0.108
Pr2 Pr 0.333 0.667 0.892

# CrFe2Mo PBE optimized geometry
# energy above the lowest structure with this stoichiometry = 0.021 eV per atom
# space-group type = Pmmm
data_CrFe2Mo
_chemical_formula_sum 'Cr1 Fe2 Mo1'
_cell_length_a 3.023
_cell_length_b 4.029
_cell_length_c 4.131
_cell_angle_alpha 90.00
_cell_angle_beta 90.00
_cell_angle_gamma 90.00
_space_group_name_H-M_alt 'P 1'
_space_group_IT_number 1
loop_
_space_group_symop_operation_xyz
'x,y,z'
loop_
_atom_site_label
_atom_site_type_symbol
_atom_site_fract_x
_atom_site_fract_y
_atom_site_fract_z
Cr1 Cr 0.000 0.500 0.500
Fe1 Fe 0.500 0.500 0.000
Fe2 Fe 0.000 0.000 0.000
Mo1 Mo 0.500 0.000 0.500

# Ba2ZrB2 PBE optimized geometry
# energy above the lowest structure with this stoichiometry = 0.074 eV per atom
# space-group type = I4/mmm
data_Ba2ZrB2
_chemical_formula_sum 'Ba2 Zr1 B2'
_cell_length_a 4.421
_cell_length_b 4.421
_cell_length_c 6.834
_cell_angle_alpha 71.13
_cell_angle_beta 71.13
_cell_angle_gamma 90.00
_space_group_name_H-M_alt 'P 1'
_space_group_IT_number 1
loop_
_space_group_symop_operation_xyz
'x,y,z'
loop_
_atom_site_label
_atom_site_type_symbol
_atom_site_fract_x
_atom_site_fract_y
_atom_site_fract_z
Ba1 Ba 0.750 0.250 0.500
Ba2 Ba 0.250 0.750 0.500
B1 B 0.566 0.566 0.869
B2 B 0.434 0.434 0.131
Zr1 Zr 0.000 0.000 0.000

# TeAs2Pt PBE optimized geometry
# space-group type = P4/mmm
# E_form (uncorrected) = -0.150 eV/f.u.
data_TeAs2Pt
_chemical_formula_sum 'Te1 As2 Pt1'
_cell_length_a 3.933
_cell_length_b 3.933
_cell_length_c 5.449
_cell_angle_alpha 90.00
_cell_angle_beta 90.00
_cell_angle_gamma 90.00
_space_group_name_H-M_alt 'P 1'
_space_group_IT_number 1
loop_
_space_group_symop_operation_xyz
'x,y,z'
loop_
_atom_site_label
_atom_site_type_symbol
_atom_site_fract_x
_atom_site_fract_y
_atom_site_fract_z
Pt1 Pt 0.000 0.000 0.625
Te1 Te 0.500 0.500 0.625
As1 As 0.000 0.000 0.125
As2 As 0.500 0.500 0.125

# Li2DyAgCl6 PBE optimized geometry
# space-group type = R3
# E_form (uncorrected) = -17.106 eV/f.u.
data_Li2DyAgCl6
_chemical_formula_sum 'Li2 Dy1 Ag1 Cl6'
_cell_length_a 6.656
_cell_length_b 6.657
_cell_length_c 7.195
_cell_angle_alpha 62.42
_cell_angle_beta 62.45
_cell_angle_gamma 59.99
_space_group_name_H-M_alt 'P 1'
_space_group_IT_number 1
loop_
_space_group_symop_operation_xyz
'x,y,z'
loop_
_atom_site_label
_atom_site_type_symbol
_atom_site_fract_x
_atom_site_fract_y
_atom_site_fract_z
Cl1 Cl 0.241 0.911 0.243
Cl2 Cl 0.911 0.606 0.242
Cl3 Cl 0.385 0.737 0.750
Cl4 Cl 0.737 0.129 0.750
Cl5 Cl 0.128 0.385 0.750
Cl6 Cl 0.606 0.241 0.243
Dy1 Dy 0.322 0.322 0.035
Ag1 Ag 0.804 0.804 0.588
Li1 Li 0.009 0.009 0.973
Li2 Li 0.520 0.519 0.442

# Ta3Au PBE optimized geometry
# energy above the lowest structure with this stoichiometry = 0.132 eV per atom
# space-group type = C2/m
data_Ta3Au
_chemical_formula_sum 'Ta3 Au1'
_cell_length_a 5.138
_cell_length_b 5.138
_cell_length_c 11.978
_cell_angle_alpha 150.59
_cell_angle_beta 150.59
_cell_angle_gamma 33.84
_space_group_name_H-M_alt 'P 1'
_space_group_IT_number 1
loop_
_space_group_symop_operation_xyz
'x,y,z'
loop_
_atom_site_label
_atom_site_type_symbol
_atom_site_fract_x
_atom_site_fract_y
_atom_site_fract_z
Ta1 Ta 0.000 0.000 0.500
Ta2 Ta 0.987 0.987 0.244
Ta3 Ta 0.013 0.013 0.756
Au1 Au 0.000 0.000 0.000

# Rb2CaCd2 PBE optimized geometry
# energy above the lowest structure with this stoichiometry = 0.000 eV per atom
# space-group type = P4/mbm
data_Rb2CaCd2
_chemical_formula_sum 'Rb4 Ca2 Cd4'
_cell_length_a 8.521
_cell_length_b 8.521
_cell_length_c 6.156
_cell_angle_alpha 90.00
_cell_angle_beta 90.00
_cell_angle_gamma 90.00
_space_group_name_H-M_alt 'P 1'
_space_group_IT_number 1
loop_
_space_group_symop_operation_xyz
'x,y,z'
loop_
_atom_site_label
_atom_site_type_symbol
_atom_site_fract_x
_atom_site_fract_y
_atom_site_fract_z
Cd1 Cd 0.875 0.625 0.000
Cd2 Cd 0.125 0.375 0.000
Cd3 Cd 0.625 0.125 0.000
Cd4 Cd 0.375 0.875 0.000
Rb1 Rb 0.174 0.674 0.500
Rb2 Rb 0.326 0.174 0.500
Rb3 Rb 0.674 0.826 0.500
Rb4 Rb 0.826 0.326 0.500
Ca1 Ca 0.500 0.500 0.000
Ca2 Ca 0.000 0.000 0.000

# BeCrP2Cl PBE optimized geometry
# energy above the lowest structure with this stoichiometry = 0.000 eV per atom
# space-group type = P4/mmm
# E_form (uncorrected) = 3.322 eV/f.u.
data_BeCrP2Cl
_chemical_formula_sum 'Be1 Cr1 P2 Cl1'
_cell_length_a 4.326
_cell_length_b 4.326
_cell_length_c 5.056
_cell_angle_alpha 90.00
_cell_angle_beta 90.00
_cell_angle_gamma 90.00
_space_group_name_H-M_alt 'P 1'
_space_group_IT_number 1
loop_
_space_group_symop_operation_xyz
'x,y,z'
loop_
_atom_site_label
_atom_site_type_symbol
_atom_site_fract_x
_atom_site_fract_y
_atom_site_fract_z
Cl1 Cl 0.000 0.000 0.500
P1 P 0.500 0.000 0.000
P2 P 0.000 0.500 0.000
Cr1 Cr 0.000 0.000 0.000
Be1 Be 0.500 0.500 0.500